[1]
Compound: La6Ge2S3I
Source: Alexandria
Functional: GGA-PBE
Structure: relaxed

Unit cell a=9.629 b=9.629 c=8.711 alpha=102.00 beta=102.00 gamma=25.89
Atoms (fractional coordinates):
La  0.001  0.001  0.282
La  0.322  0.322  0.908
La  0.333  0.333  0.416
La  0.667  0.667  0.584
La  0.678  0.678  0.092
La  0.999  0.999  0.718
Ge  0.165  0.165  0.329
Ge  0.835  0.835  0.671
S  0.163  0.163  0.836
S  0.500  0.500  0.500
S  0.837  0.837  0.164
I  0.500  0.500  0.000

Summary:
The magnetization comes out at 0.0000 μB per atom. Its space group is No. 12. The value obtained for the raw formation energy is -1.558 eV/atom. The calculation puts the total energy at -5.95 eV per atom. The density comes out at 5.8 g/cm³.

[2]
Compound: La6Ge3S2I
Source: Alexandria
Functional: GGA-PBE
Structure: relaxed

Unit cell a=9.754 b=9.754 c=8.767 alpha=101.95 beta=101.95 gamma=26.08
Atoms (fractional coordinates):
La  0.003  0.003  0.274
La  0.324  0.324  0.911
La  0.333  0.333  0.415
La  0.667  0.667  0.585
La  0.676  0.676  0.089
La  0.997  0.997  0.726
Ge  0.163  0.163  0.833
Ge  0.500  0.500  0.500
Ge  0.837  0.837  0.167
S  0.169  0.169  0.336
S  0.831  0.831  0.664
I  0.500  0.500  0.000

Summary:
The magnetization comes out at 0.0000 μB per atom. Its space group is No. 12. The value obtained for the raw formation energy is -1.344 eV/atom. The calculation puts the total energy at -5.78 eV per atom. The density comes out at 5.8 g/cm³.

[3]
Compound: La6Ge2SbI3
Source: Alexandria
Functional: GGA-PBE
Structure: relaxed

Unit cell a=7.845 b=7.845 c=8.139 alpha=99.25 beta=99.25 gamma=119.97
Atoms (fractional coordinates):
La  0.082  0.430  0.791
La  0.221  0.221  0.207
La  0.430  0.082  0.791
La  0.570  0.918  0.209
La  0.779  0.779  0.793
La  0.918  0.570  0.209
Ge  0.167  0.833  0.000
Ge  0.833  0.167  0.000
Sb  0.500  0.500  0.000
I  0.000  0.000  0.500
I  0.338  0.662  0.500
I  0.662  0.338  0.500

Summary:
The magnetization comes out at 0.0000 μB per atom. Its space group is No. 12. The value obtained for the raw formation energy is -1.138 eV/atom. The calculation puts the total energy at -5.10 eV per atom. The density comes out at 6.0 g/cm³.

[4]
Compound: La8GeSe3I4
Source: Alexandria
Functional: GGA-PBE
Structure: relaxed

Unit cell a=9.256 b=9.256 c=9.256 alpha=56.47 beta=56.47 gamma=56.47
Atoms (fractional coordinates):
La  0.234  0.234  0.234
La  0.234  0.735  0.735
La  0.265  0.265  0.766
La  0.265  0.766  0.265
La  0.735  0.234  0.735
La  0.735  0.735  0.234
La  0.766  0.265  0.265
La  0.766  0.766  0.766
Ge  0.500  0.500  0.500
Se  0.000  0.000  0.500
Se  0.000  0.500  0.000
Se  0.500  0.000  0.000
I  0.000  0.000  0.000
I  0.000  0.500  0.500
I  0.500  0.000  0.500
I  0.500  0.500  0.000

Summary:
The magnetization comes out at 0.0000 μB per atom. Its space group is No. 166. The value obtained for the raw formation energy is -1.419 eV/atom. The calculation puts the total energy at -5.21 eV per atom. The density comes out at 6.2 g/cm³.

[5]
Compound: La8Ge3SeI4
Source: Alexandria
Functional: GGA-PBE
Structure: relaxed

Unit cell a=9.311 b=9.311 c=9.311 alpha=56.92 beta=56.92 gamma=56.92
Atoms (fractional coordinates):
La  0.231  0.736  0.736
La  0.235  0.235  0.235
La  0.264  0.264  0.769
La  0.264  0.769  0.264
La  0.736  0.231  0.736
La  0.736  0.736  0.231
La  0.765  0.765  0.765
La  0.769  0.264  0.264
Ge  0.000  0.000  0.500
Ge  0.000  0.500  0.000
Ge  0.500  0.000  0.000
Se  0.500  0.500  0.500
I  0.000  0.000  0.000
I  0.000  0.500  0.500
I  0.500  0.000  0.500
I  0.500  0.500  0.000

Summary:
The magnetization comes out at 0.0000 μB per atom. Its space group is No. 166. The value obtained for the raw formation energy is -1.218 eV/atom. The calculation puts the total energy at -5.15 eV per atom. The density comes out at 6.0 g/cm³.

[6]
Compound: La4GeSe2I
Source: Alexandria
Functional: GGA-PBE
Structure: relaxed

Unit cell a=7.585 b=4.394 c=7.767 alpha=90.00 beta=109.01 gamma=90.00
Atoms (fractional coordinates):
La  0.231  0.000  0.221
La  0.248  0.500  0.769
La  0.752  0.500  0.231
La  0.769  0.000  0.779
Ge  0.500  0.000  0.000
Se  0.000  0.000  0.500
Se  0.000  0.500  0.000
I  0.500  0.500  0.500

Summary:
The magnetization comes out at 0.0000 μB per atom. Its space group is No. 10. The value obtained for the raw formation energy is -1.512 eV/atom. The calculation puts the total energy at -5.62 eV per atom. The density comes out at 6.2 g/cm³.

[7]
Compound: La4GeSeI2
Source: Alexandria
Functional: GGA-PBE
Structure: relaxed

Unit cell a=7.618 b=4.446 c=8.136 alpha=90.00 beta=108.58 gamma=90.00
Atoms (fractional coordinates):
La  0.233  0.000  0.203
La  0.264  0.500  0.797
La  0.736  0.500  0.203
La  0.767  0.000  0.797
Ge  0.000  0.500  0.000
Se  0.500  0.000  0.000
I  0.000  0.000  0.500
I  0.500  0.500  0.500

Summary:
The magnetization comes out at 0.0001 μB per atom. Its space group is No. 10. The value obtained for the raw formation energy is -1.324 eV/atom. The calculation puts the total energy at -5.19 eV per atom. The density comes out at 6.1 g/cm³.

[8]
Compound: La6Ge2SeI3
Source: Alexandria
Functional: GGA-PBE
Structure: relaxed

Unit cell a=7.670 b=7.670 c=8.184 alpha=98.99 beta=98.99 gamma=120.01
Atoms (fractional coordinates):
La  0.096  0.433  0.797
La  0.231  0.231  0.202
La  0.433  0.096  0.797
La  0.567  0.904  0.203
La  0.769  0.769  0.798
La  0.904  0.567  0.203
Ge  0.166  0.834  0.000
Ge  0.834  0.166  0.000
Se  0.500  0.500  0.000
I  0.000  0.000  0.500
I  0.333  0.667  0.500
I  0.667  0.333  0.500

Summary:
The magnetization comes out at 0.0000 μB per atom. Its space group is No. 12. The value obtained for the raw formation energy is -1.258 eV/atom. The calculation puts the total energy at -5.17 eV per atom. The density comes out at 6.0 g/cm³.

[9]
Compound: La6GeSe2I3
Source: Alexandria
Functional: GGA-PBE
Structure: relaxed

Unit cell a=7.608 b=7.608 c=8.152 alpha=98.95 beta=98.95 gamma=120.04
Atoms (fractional coordinates):
La  0.099  0.432  0.797
La  0.234  0.234  0.202
La  0.432  0.099  0.797
La  0.568  0.901  0.203
La  0.766  0.766  0.798
La  0.901  0.568  0.203
Ge  0.500  0.500  0.000
Se  0.167  0.833  0.000
Se  0.833  0.167  0.000
I  0.000  0.000  0.500
I  0.335  0.665  0.500
I  0.665  0.335  0.500

Summary:
The magnetization comes out at 0.0000 μB per atom. Its space group is No. 12. The value obtained for the raw formation energy is -1.391 eV/atom. The calculation puts the total energy at -5.21 eV per atom. The density comes out at 6.2 g/cm³.

[10]
Compound: La6Si2GeI3
Source: Alexandria
Functional: GGA-PBE
Structure: relaxed

Unit cell a=7.699 b=7.699 c=8.211 alpha=99.00 beta=99.00 gamma=119.99
Atoms (fractional coordinates):
La  0.097  0.433  0.798
La  0.231  0.231  0.202
La  0.433  0.097  0.798
La  0.567  0.903  0.202
La  0.769  0.769  0.798
La  0.903  0.567  0.202
Si  0.167  0.833  0.000
Si  0.833  0.167  0.000
Ge  0.500  0.500  0.000
I  0.000  0.000  0.500
I  0.334  0.666  0.500
I  0.666  0.334  0.500

Summary:
The magnetization comes out at 0.0000 μB per atom. Its space group is No. 12. The value obtained for the raw formation energy is -1.045 eV/atom. The calculation puts the total energy at -5.18 eV per atom. The density comes out at 5.6 g/cm³.

[11]
Compound: La8Si3GeI4
Source: Alexandria
Functional: GGA-PBE
Structure: relaxed

Unit cell a=8.878 b=8.878 c=9.367 alpha=118.29 beta=118.29 gamma=59.99
Atoms (fractional coordinates):
La  0.231  0.735  0.701
La  0.234  0.234  0.700
La  0.265  0.769  0.299
La  0.266  0.266  0.299
La  0.734  0.734  0.701
La  0.735  0.231  0.701
La  0.766  0.766  0.300
La  0.769  0.265  0.299
Si  0.000  0.000  0.500
Si  0.000  0.500  0.500
Si  0.500  0.000  0.500
Ge  0.500  0.500  0.500
I  0.000  0.000  0.000
I  0.000  0.500  0.000
I  0.500  0.000  0.000
I  0.500  0.500  0.000

Summary:
The magnetization comes out at 0.0000 μB per atom. Its space group is No. 12. The value obtained for the raw formation energy is -1.049 eV/atom. The calculation puts the total energy at -5.21 eV per atom. The density comes out at 5.5 g/cm³.

[12]
Compound: La4SiGeI2
Source: Alexandria
Functional: GGA-PBE
Structure: relaxed

Unit cell a=7.701 b=4.452 c=8.214 alpha=90.00 beta=108.27 gamma=90.00
Atoms (fractional coordinates):
La  0.232  0.000  0.202
La  0.263  0.500  0.797
La  0.737  0.500  0.203
La  0.768  0.000  0.798
Si  0.000  0.500  0.000
Ge  0.500  0.000  0.000
I  0.000  0.000  0.500
I  0.500  0.500  0.500

Summary:
The magnetization comes out at 0.0000 μB per atom. Its space group is No. 10. The value obtained for the raw formation energy is -1.059 eV/atom. The calculation puts the total energy at -5.17 eV per atom. The density comes out at 5.7 g/cm³.

[13]
Compound: LaSmGeI
Source: Alexandria
Functional: GGA-PBE
Structure: relaxed

Unit cell a=8.277 b=8.277 c=8.277 alpha=30.33 beta=30.33 gamma=30.33
Atoms (fractional coordinates):
La  0.000  0.000  0.000
Sm  0.800  0.800  0.800
Ge  0.404  0.404  0.404
I  0.229  0.229  0.229

Summary:
The magnetization comes out at 0.0000 μB per atom. Its space group is No. 160. The value obtained for the raw formation energy is -1.039 eV/atom. The calculation puts the total energy at -4.99 eV per atom. The density comes out at 6.3 g/cm³.

[14]
Compound: La8SnGe3I4
Source: Alexandria
Functional: GGA-PBE
Structure: relaxed

Unit cell a=9.311 b=9.311 c=9.311 alpha=58.24 beta=58.24 gamma=58.24
Atoms (fractional coordinates):
La  0.225  0.743  0.743
La  0.234  0.234  0.234
La  0.257  0.257  0.775
La  0.257  0.775  0.257
La  0.743  0.225  0.743
La  0.743  0.743  0.225
La  0.766  0.766  0.766
La  0.775  0.257  0.257
Sn  0.500  0.500  0.500
Ge  0.000  0.000  0.500
Ge  0.000  0.500  0.000
Ge  0.500  0.000  0.000
I  0.000  0.000  0.000
I  0.000  0.500  0.500
I  0.500  0.000  0.500
I  0.500  0.500  0.000

Summary:
The magnetization comes out at 0.0000 μB per atom. Its space group is No. 166. The value obtained for the raw formation energy is -1.066 eV/atom. The calculation puts the total energy at -5.03 eV per atom. The density comes out at 5.9 g/cm³.

[15]
Compound: La8TcGe3I4
Source: Alexandria
Functional: GGA-PBE
Structure: relaxed

Unit cell a=9.410 b=9.410 c=9.410 alpha=56.21 beta=56.21 gamma=56.21
Atoms (fractional coordinates):
La  0.235  0.235  0.235
La  0.249  0.722  0.722
La  0.278  0.278  0.751
La  0.278  0.751  0.278
La  0.722  0.249  0.722
La  0.722  0.722  0.249
La  0.751  0.278  0.278
La  0.765  0.765  0.765
Tc  0.500  0.500  0.500
Ge  0.000  0.000  0.500
Ge  0.000  0.500  0.000
Ge  0.500  0.000  0.000
I  0.000  0.000  0.000
I  0.000  0.500  0.500
I  0.500  0.000  0.500
I  0.500  0.500  0.000

Summary:
The magnetization comes out at 0.0000 μB per atom. Its space group is No. 166. The value obtained for the raw formation energy is -0.953 eV/atom. The calculation puts the total energy at -5.32 eV per atom. The density comes out at 6.0 g/cm³.

[16]
Compound: La4GeTe2I
Source: Alexandria
Functional: GGA-PBE
Structure: relaxed

Unit cell a=7.870 b=4.527 c=7.953 alpha=90.00 beta=109.03 gamma=90.00
Atoms (fractional coordinates):
La  0.231  0.000  0.224
La  0.245  0.500  0.772
La  0.755  0.500  0.228
La  0.769  0.000  0.776
Ge  0.000  0.500  0.000
Te  0.500  0.000  0.000
Te  0.500  0.500  0.500
I  0.000  0.000  0.500

Summary:
The magnetization comes out at 0.0000 μB per atom. Its space group is No. 10. The value obtained for the raw formation energy is -1.327 eV/atom. The calculation puts the total energy at -5.35 eV per atom. The density comes out at 6.3 g/cm³.

[17]
Compound: LaGeTeI2
Source: Alexandria
Functional: GGA-PBE
Structure: relaxed

Unit cell a=6.186 b=6.186 c=6.301 alpha=90.00 beta=90.00 gamma=90.00
Atoms (fractional coordinates):
La  0.000  0.000  0.000
Ge  0.500  0.500  0.500
Te  0.000  0.000  0.500
I  0.000  0.500  0.000
I  0.500  0.000  0.000

Summary:
The magnetization comes out at 0.1999 μB per atom. Its space group is No. 123. The value obtained for the raw formation energy is -0.318 eV/atom. The calculation puts the total energy at -3.48 eV per atom. The density comes out at 4.1 g/cm³.

[18]
Compound: La8Ge3TeI4
Source: Alexandria
Functional: GGA-PBE
Structure: relaxed

Unit cell a=9.300 b=9.300 c=9.300 alpha=58.06 beta=58.06 gamma=58.06
Atoms (fractional coordinates):
La  0.218  0.746  0.746
La  0.234  0.234  0.234
La  0.254  0.254  0.782
La  0.254  0.782  0.254
La  0.746  0.218  0.746
La  0.746  0.746  0.218
La  0.766  0.766  0.766
La  0.782  0.254  0.254
Ge  0.000  0.000  0.500
Ge  0.000  0.500  0.000
Ge  0.500  0.000  0.000
Te  0.500  0.500  0.500
I  0.000  0.000  0.000
I  0.000  0.500  0.500
I  0.500  0.000  0.500
I  0.500  0.500  0.000

Summary:
The magnetization comes out at 0.0000 μB per atom. Its space group is No. 166. The value obtained for the raw formation energy is -1.163 eV/atom. The calculation puts the total energy at -5.08 eV per atom. The density comes out at 6.0 g/cm³.

[19]
Compound: LaGeTeI2
Source: Alexandria
Functional: GGA-PBE
Structure: relaxed

Unit cell a=5.592 b=5.592 c=5.716 alpha=90.00 beta=90.00 gamma=90.00
Atoms (fractional coordinates):
La  0.000  0.000  0.000
Ge  0.500  0.500  0.500
Te  0.500  0.500  0.000
I  0.000  0.500  0.500
I  0.500  0.000  0.500

Summary:
The magnetization comes out at 0.1381 μB per atom. Its space group is No. 123. The value obtained for the raw formation energy is -0.318 eV/atom. The calculation puts the total energy at -3.48 eV per atom. The density comes out at 5.5 g/cm³.

[20]
Compound: La2TiGeI
Source: Alexandria
Functional: GGA-PBE
Structure: relaxed

Unit cell a=5.632 b=5.632 c=4.844 alpha=90.00 beta=90.00 gamma=90.00
Atoms (fractional coordinates):
La  0.000  0.500  0.000
La  0.500  0.000  0.000
Ti  0.000  0.000  0.000
Ge  0.000  0.000  0.500
I  0.500  0.500  0.500

Summary:
The magnetization comes out at 0.0000 μB per atom. Its space group is No. 123. The value obtained for the raw formation energy is -0.236 eV/atom. The calculation puts the total energy at -5.02 eV per atom. The density comes out at 5.7 g/cm³.